DFT (SCAN) results for MgSiMo2 at its PBEsol-relaxed geometry.

a b c (Å): 3.797 3.797 4.154
angles (deg): 90.00 90.00 90.00
Sites, in units of the cell vectors:
Mg  0.000  0.000  0.500
Mo  0.500  0.000  0.000
Mo  0.000  0.500  0.000
Si  0.500  0.500  0.500

Space group: No. 123
E, Ry/atom: -1.5418
Energy relative to the elements, uncorrected, eV/atom: 0.2133
Calculated volume, Å³/cell: 59.89